1.
Crystalline BaPd3O at its relaxed geometry, computed with PBE.

a = 5.3848 Å, b = 5.3848 Å, c = 5.3848 Å
α = 90.00°, β = 90.00°, γ = 90.00°
Last column: nearest neighbours and their distance in Å.
Fractional coordinates of all 5 atoms:
O (0.5000, 0.5000, 0.5000)  12 Pd 3.81
Pd (0.5000, 0.0000, 0.0000)  2 Ba 2.69
Pd (0.0000, 0.0000, 0.5000)  2 Ba 2.69
Pd (0.0000, 0.5000, 0.0000)  2 Ba 2.69
Ba (0.0000, 0.0000, 0.0000)  6 Pd 2.69

symmetry = Pm-3m
E = -15.06 eV/cell
E above lowest polymorph = 1758.7 meV per atom

***

2.
Crystalline BaPdO at its relaxed geometry, computed with PBE.

a = 5.5516 Å, b = 4.8450 Å, c = 6.4372 Å
α = 112.03°, β = 64.45°, γ = 90.00°
Last column: nearest neighbours and their distance in Å.
Fractional coordinates of all 6 atoms:
O (0.8738, 0.6261, 0.4343)  1 Pd 2.06
O (0.2633, 0.2367, 0.6551)  1 Pd 2.06
Ba (0.7672, 0.2297, 0.6421)  4 O 2.66-2.79
Ba (0.3647, 0.6331, 0.4473)  4 O 2.66-2.79
Pd (0.0592, 0.4315, 0.0447)  2 O 2.06
Pd (0.9019, 0.9315, 0.0448)  2 Pd 2.57-2.58

symmetry = C2
E = -32.21 eV/cell

***

3.
Crystalline BaPdO2 at its relaxed geometry, computed with PBE.

a = 6.4973 Å, b = 6.4973 Å, c = 6.4973 Å
α = 37.52°, β = 37.52°, γ = 37.52°
Last column: nearest neighbours and their distance in Å.
Fractional coordinates of all 4 atoms:
Ba (0.5000, 0.5000, 0.5000)  6 O 2.67
Pd (0.0000, 0.0000, 0.0000)  2 O 1.88
O (0.1040, 0.1040, 0.1040)  1 Pd 1.88
O (0.8960, 0.8960, 0.8960)  1 Pd 1.88

symmetry = R-3m
E = -22.18 eV/cell

***

no.,DOS at the Fermi energy (states/eV/f.u.),formation energy without anion corrections (eV/atom)
1,6.29,1.480
2,0.00,-1.343
3,2.14,-1.286